1.
First-principles (PBE) data for ZnSi2S after structural relaxation, as listed in Alexandria.

Cell: 5.4888 5.4888 6.7134 Å, 65.87 65.87 90.00°
Closest atoms and distances in Å follow each position.
Positions (direct):
Si (0.6279, 0.1250, 0.2500)  2 Zn 2.37, 2 S 2.38
Si (0.8750, 0.8779, 0.7500)  2 Zn 2.37, 2 S 2.38
Zn (0.0000, 0.0000, 0.0000)  4 Si 2.37
S (0.2500, 0.7500, 0.5000)  4 Si 2.38
S (0.5000, 0.5000, 0.0000)  4 Si 2.38
Si (0.3750, 0.3721, 0.7500)  2 Zn 2.37, 2 S 2.38
Zn (0.7500, 0.2500, 0.5000)  4 Si 2.37
Si (0.1221, 0.6250, 0.2500)  2 Zn 2.37, 2 S 2.38

Computed properties:
space-group type: No. 122
formation energy from raw total energies: 0.2265 eV/atom
energy relative to the lowest polymorph listed for this composition: 0 meV/atom



2.
First-principles (PBE) data for Tm5Pb5O after structural relaxation, as listed in Alexandria.

Cell: 5.8934 6.7840 9.0161 Å, 112.11 90.00 115.74°
Closest atoms and distances in Å follow each position.
Positions (direct):
Tm (0.8338, 0.6676, 0.0955)  1 O 2.52
Pb (0.5997, 0.1994, 0.7327)  5 Tm 3.12-3.33, 1 Pb 3.48
Pb (0.4003, 0.8006, 0.2673)  5 Tm 3.12-3.33, 1 Pb 3.48
Pb (0.7061, 0.4122, 0.3571)  5 Tm 3.09-3.33, 1 Pb 3.27
Tm (0.1662, 0.3324, 0.9045)  1 O 2.52
Pb (0.2939, 0.5878, 0.6429)  5 Tm 3.09-3.33, 1 Pb 3.27
Tm (0.8645, 0.7291, 0.7408)  1 O 2.23
Tm (0.5000, 0.0000, 0.0000)  2 O 2.95, 4 Pb 3.12-3.15
O (0.0000, 0.0000, 0.0000)  2 Tm 2.23
Pb (0.0000, 0.0000, 0.5000)  4 Tm 3.23-3.35, 6 Pb 3.27-3.53
Tm (0.1355, 0.2709, 0.2592)  1 O 2.23

Computed properties:
space-group type: No. 12
formation energy from raw total energies: -0.6467 eV/atom



3.
First-principles (PBE) data for AsCSe2F after structural relaxation, as listed in Alexandria.

Cell: 4.3764 4.3764 4.3387 Å, 90.00 90.00 90.00°
Closest atoms and distances in Å follow each position.
Positions (direct):
C (0.0000, 0.0000, 0.0000)  2 As 2.17, 4 Se 2.19
Se (0.5000, 0.0000, 0.0000)  2 C 2.19
As (0.0000, 0.0000, 0.5000)  2 C 2.17
F (0.5000, 0.5000, 0.5000)  8 Se 3.08, 4 As 3.09
Se (0.0000, 0.5000, 0.0000)  2 C 2.19

Computed properties:
space-group type: No. 123
formation energy from raw total energies: 0.8545 eV/atom
energy relative to the lowest polymorph listed for this composition: 0 meV/atom



4.
First-principles (PBE) data for Dy12Sc3Pd5 after structural relaxation, as listed in Alexandria.

Cell: 14.9841 14.9841 14.9841 Å, 109.47 109.47 109.47°
Closest atoms and distances in Å follow each position.
Positions (direct):
Pd (0.5000, 0.5000, 0.0000)  6 Dy 2.80
Dy (0.4034, 0.1136, 0.5793)  2 Pd 2.69-2.80
Dy (0.1136, 0.4034, 0.0793)  2 Pd 2.69-2.80
Sc (0.1250, 0.8750, 0.7500)  8 Dy 3.26-3.45
Dy (0.2898, 0.8864, 0.9656)  2 Pd 2.69-2.80
Pd (0.8750, 0.2500, 0.6250)  4 Dy 2.69
Dy (0.2102, 0.6759, 0.0966)  2 Pd 2.69-2.80
Dy (0.9207, 0.0966, 0.8864)  2 Pd 2.69-2.80
Pd (0.0000, 0.0000, 0.5000)  6 Dy 2.80
Dy (0.1136, 0.7102, 0.5344)  2 Pd 2.69-2.80
Dy (0.0966, 0.9207, 0.3864)  2 Pd 2.69-2.80
Dy (0.0793, 0.9034, 0.1136)  2 Pd 2.69-2.80
Pd (0.7500, 0.6250, 0.3750)  4 Dy 2.69
Dy (0.5966, 0.8864, 0.4207)  2 Pd 2.69-2.80
Dy (0.6759, 0.4656, 0.5793)  2 Pd 2.69-2.80
Dy (0.7102, 0.5966, 0.1759)  2 Pd 2.69-2.80
Dy (0.5793, 0.9656, 0.6759)  2 Pd 2.69-2.80
Dy (0.5344, 0.3241, 0.9207)  2 Pd 2.69-2.80
Dy (0.6136, 0.5793, 0.9034)  2 Pd 2.69-2.80
Dy (0.8864, 0.5966, 0.9207)  2 Pd 2.69-2.80
Dy (0.9034, 0.0793, 0.6136)  2 Pd 2.69-2.80
Pd (0.0000, 0.5000, 0.0000)  6 Dy 2.80
Sc (0.1250, 0.2500, 0.8750)  8 Dy 3.26-3.45
Pd (0.6250, 0.7500, 0.8750)  4 Dy 2.69
Dy (0.8864, 0.2898, 0.4656)  2 Pd 2.69-2.80
Dy (0.1759, 0.0793, 0.9656)  2 Pd 2.69-2.80
Pd (0.3750, 0.2500, 0.1250)  4 Dy 2.69
Dy (0.9656, 0.5793, 0.1759)  2 Pd 2.69-2.80
Sc (0.3750, 0.6250, 0.2500)  8 Dy 3.26-3.45
Pd (0.1250, 0.7500, 0.3750)  4 Dy 2.69
Dy (0.3864, 0.4207, 0.0966)  2 Pd 2.69-2.80
Dy (0.1759, 0.0966, 0.7102)  2 Pd 2.69-2.80
Pd (0.5000, 0.5000, 0.5000)  6 Dy 2.80
Sc (0.6250, 0.2500, 0.3750)  8 Dy 3.26-3.45
Pd (0.0000, 0.0000, 0.0000)  6 Dy 2.80
Dy (0.4656, 0.7898, 0.8864)  2 Pd 2.69-2.80
Dy (0.9207, 0.8241, 0.5344)  2 Pd 2.69-2.80
Sc (0.8750, 0.1250, 0.2500)  8 Dy 3.26-3.45
Sc (0.2500, 0.6250, 0.8750)  8 Dy 3.26-3.45
Pd (0.0000, 0.5000, 0.5000)  6 Dy 2.80
Pd (0.5000, 0.0000, 0.5000)  6 Dy 2.80
Dy (0.5966, 0.7102, 0.6759)  2 Pd 2.69-2.80
Dy (0.5793, 0.6136, 0.4034)  2 Pd 2.69-2.80
Pd (0.3750, 0.1250, 0.7500)  4 Dy 2.69
Pd (0.2500, 0.3750, 0.6250)  4 Dy 2.69
Sc (0.7500, 0.8750, 0.6250)  8 Dy 3.26-3.45
Sc (0.2500, 0.1250, 0.3750)  8 Dy 3.26-3.45
Dy (0.2898, 0.4034, 0.8241)  2 Pd 2.69-2.80
Dy (0.3864, 0.9656, 0.7898)  2 Pd 2.69-2.80
Dy (0.0966, 0.1759, 0.2102)  2 Pd 2.69-2.80
Dy (0.4207, 0.3864, 0.5966)  2 Pd 2.69-2.80
Dy (0.3241, 0.7898, 0.4034)  2 Pd 2.69-2.80
Pd (0.1250, 0.3750, 0.2500)  4 Dy 2.69
Dy (0.9034, 0.8241, 0.7898)  2 Pd 2.69-2.80
Dy (0.2102, 0.5344, 0.6136)  2 Pd 2.69-2.80
Pd (0.5000, 0.0000, 0.0000)  6 Dy 2.80
Pd (0.2500, 0.8750, 0.1250)  4 Dy 2.69
Dy (0.7898, 0.4656, 0.3864)  2 Pd 2.69-2.80
Pd (0.6250, 0.8750, 0.2500)  4 Dy 2.69
Dy (0.7102, 0.1136, 0.0344)  2 Pd 2.69-2.80
Dy (0.0793, 0.1759, 0.4656)  2 Pd 2.69-2.80
Pd (0.7500, 0.1250, 0.8750)  4 Dy 2.69
Dy (0.0344, 0.4207, 0.8241)  2 Pd 2.69-2.80
Sc (0.7500, 0.3750, 0.1250)  8 Dy 3.26-3.45
Dy (0.4034, 0.2898, 0.3241)  2 Pd 2.69-2.80
Dy (0.4656, 0.6759, 0.0793)  2 Pd 2.69-2.80
Dy (0.0344, 0.6136, 0.7102)  2 Pd 2.69-2.80
Dy (0.4207, 0.0344, 0.3241)  2 Pd 2.69-2.80
Dy (0.7898, 0.3241, 0.9034)  2 Pd 2.69-2.80
Dy (0.5344, 0.2102, 0.1136)  2 Pd 2.69-2.80
Sc (0.3750, 0.7500, 0.6250)  8 Dy 3.26-3.45
Dy (0.8241, 0.9034, 0.2898)  2 Pd 2.69-2.80
Dy (0.8241, 0.9207, 0.0344)  2 Pd 2.69-2.80
Dy (0.6136, 0.0344, 0.2102)  2 Pd 2.69-2.80
Pd (0.8750, 0.6250, 0.7500)  4 Dy 2.69
Sc (0.6250, 0.3750, 0.7500)  8 Dy 3.26-3.45
Dy (0.3241, 0.5344, 0.4207)  2 Pd 2.69-2.80
Sc (0.8750, 0.7500, 0.1250)  8 Dy 3.26-3.45
Dy (0.6759, 0.2102, 0.5966)  2 Pd 2.69-2.80
Dy (0.9656, 0.3864, 0.2898)  2 Pd 2.69-2.80

Computed properties:
space-group type: No. 230
ΔH_f (0 K): 0.1171 eV/atom